The following is a PBE calculation of crystalline Cs2ZrCdS4 at its relaxed geometry, from Alexandria.

Summary:
**Symmetry**: Fddd (70)
**Crystal system**: orthorhombic
**Formation energy from raw total energies**: -10.0 eV/f.u.

Cell lengths 14.6649, 13.0696, 7.9853 Å; angles 84.63, 62.54, 32.83 degrees
Fractional coordinates of all 16 atoms:
Cs 0.0531 0.0531 0.6969
Cs 0.3031 0.3031 0.9469
Cs 0.6969 0.6969 0.0531
Cs 0.9469 0.9469 0.3031
Zr 0.1250 0.1250 0.1250
Zr 0.8750 0.8750 0.8750
Cd 0.3750 0.3750 0.3750
Cd 0.6250 0.6250 0.6250
S 0.0443 0.3119 0.3982
S 0.2544 0.6018 0.6881
S 0.3119 0.0443 0.7456
S 0.3982 0.7456 0.0443
S 0.6018 0.2544 0.9557
S 0.6881 0.9557 0.2544
S 0.7456 0.3982 0.3119
S 0.9557 0.6881 0.6018


The following is a PBE calculation of crystalline Sc2ZnP at its relaxed geometry, from Alexandria.

Summary:
**Symmetry**: R-3m (166)
**ΔE to the lowest computed polymorph**: 0.901 eV per atom
**Crystal system**: trigonal
**Formation energy from the elements**: 0.0476 eV per atom

Cell lengths 9.6526, 9.6526, 9.6526 Å; angles 19.21, 19.21, 19.21 degrees
Fractional coordinates of all 4 atoms:
Sc 0.0897 0.0897 0.0897
Sc 0.9103 0.9103 0.9103
Zn 0.5000 0.5000 0.5000
P 0.0000 0.0000 0.0000


The following is a PBE calculation of crystalline Pr2Sc at its relaxed geometry, from Alexandria.

Summary:
**Symmetry**: Immm (71)
**ΔE to the lowest computed polymorph**: 0.000 eV per atom
**Crystal system**: orthorhombic
**Formation energy from the elements**: 0.0465 eV per atom

Cell lengths 6.1589, 6.1589, 6.1589 Å; angles 145.90, 132.62, 59.65 degrees
Fractional coordinates of all 3 atoms:
Pr 0.1614 0.1614 0.0000
Pr 0.8386 0.8386 0.0000
Sc 0.5000 0.5000 0.0000